Material: La4In2Pb
Method: DFT, GGA-PBE
State: optimized geometry

```
data_La4In2Pb
_symmetry_space_group_name_H-M 'P 1'
_symmetry_Int_Tables_number 1
_cell_length_a 9.5630
_cell_length_b 9.5630
_cell_length_c 9.5630
_cell_angle_alpha 33.73
_cell_angle_beta 33.73
_cell_angle_gamma 33.73
loop_
_symmetry_equiv_pos_as_xyz
'x,y,z'
loop_
_atom_site_label
_atom_site_type_symbol
_atom_site_fract_x
_atom_site_fract_y
_atom_site_fract_z
La1 La 0.1193 0.1193 0.1193
La2 La 0.3717 0.3717 0.3717
La3 La 0.6283 0.6283 0.6283
La4 La 0.8807 0.8807 0.8807
In1 In 0.2519 0.2519 0.2519
In2 In 0.7481 0.7481 0.7481
Pb1 Pb 0.5000 0.5000 0.5000
```

Computed properties:
Energy = -0.330 Ry/atom
DFT formation energy = -0.36 eV per atom